No. 1
Pa2Zn16Cu: relaxed, GGA-PBE.

Values from the calculation:
**Fermi-level density of states**: 0.6783 states/eV per atom
**Size of the total moment**: 0.00 μB per atom
**Final energy**: -2.400 eV per atom
**Energy of formation**: -0.11 eV/atom

a b c (Å): 6.7676 6.7676 6.7676
angles (deg): 82.64 82.64 82.64
Last column: nearest neighbours and their distance in Å.
Positions (direct):
Zn 0.9998 0.2924 0.7070  8 Zn 2.56-2.77
Zn 0.9998 0.7070 0.2924  8 Zn 2.56-2.77
Zn 0.6478 0.6478 0.1570  8 Zn 2.56-2.75, 1 Cu 2.82
Zn 0.8416 0.3545 0.3545  9 Zn 2.56-2.86
Zn 0.9972 0.9972 0.5055  9 Zn 2.56-2.76, 1 Cu 2.67
Zn 0.7070 0.2924 0.9998  8 Zn 2.56-2.77
Zn 0.3545 0.3545 0.8416  9 Zn 2.56-2.86
Zn 0.2924 0.9998 0.7070  8 Zn 2.56-2.77
Zn 0.1570 0.6478 0.6478  8 Zn 2.56-2.75, 1 Cu 2.82
Zn 0.6478 0.1570 0.6478  8 Zn 2.56-2.75, 1 Cu 2.82
Zn 0.2924 0.7070 0.9998  8 Zn 2.56-2.77
Zn 0.1001 0.1001 0.1001  1 Cu 2.68, 12 Zn 2.76-2.93
Zn 0.9972 0.5055 0.9972  9 Zn 2.56-2.76, 1 Cu 2.67
Zn 0.3545 0.8416 0.3545  9 Zn 2.56-2.86
Zn 0.7070 0.9998 0.2924  8 Zn 2.56-2.77
Zn 0.5055 0.9972 0.9972  9 Zn 2.56-2.76, 1 Cu 2.67
Pa 0.6628 0.6628 0.6628  1 Cu 3.07, 15 Zn 3.16-3.38
Pa 0.3394 0.3394 0.3394  19 Zn 3.14-3.47
Cu 0.8963 0.8963 0.8963  13 Zn 2.67-2.95

=====

No. 2
Ho2GaNi: relaxed, GGA-PBE.

Values from the calculation:
**Fermi-level density of states**: 0.5384 states/eV per atom
**Size of the total moment**: 0.00 μB per atom
**Final energy**: -4.311 eV per atom
**Energy of formation**: 0.18 eV/atom

a b c (Å): 3.3387 3.3387 9.7874
angles (deg): 80.18 80.18 60.00
Last column: nearest neighbours and their distance in Å.
Positions (direct):
Ga 0.5000 0.5000 0.5000  6 Ho 2.99, 6 Ga 3.34
Ni 0.0000 0.0000 0.0000  2 Ho 2.52
Ho 0.0874 0.0874 0.7377  1 Ni 2.52
Ho 0.9126 0.9126 0.2623  1 Ni 2.52

=====

No. 3
NaSr2Tl: relaxed, GGA-PBE.

Values from the calculation:
**Fermi-level density of states**: 1.1300 states/eV per atom
**Size of the total moment**: 0.00 μB per atom
**Final energy**: -1.953 eV per atom
**Energy of formation**: -0.19 eV/atom
**ΔE to the lowest computed polymorph**: 0.038 eV per atom

a b c (Å): 4.1950 5.9824 5.9824
angles (deg): 90.00 90.00 90.00
Last column: nearest neighbours and their distance in Å.
Positions (direct):
Sr 0.0000 0.0000 0.5000  4 Tl 3.65, 4 Na 3.65
Sr 0.0000 0.5000 0.0000  4 Tl 3.65, 4 Na 3.65
Tl 0.5000 0.5000 0.5000  8 Sr 3.65
Na 0.5000 0.0000 0.0000  8 Sr 3.65

=====

No. 4
Rb2MnCdBr6: relaxed, GGA-PBE.

Values from the calculation:
**Fermi-level density of states**: 0.0000 states/eV per atom
**Size of the total moment**: 0.50 μB per atom
**Final energy**: -3.380 eV per atom
**ΔE to the lowest computed polymorph**: 0.009 eV per atom
**Formation energy without anion corrections**: -11.7 eV/f.u.

a b c (Å): 7.7478 7.7478 7.7464
angles (deg): 59.99 59.99 90.00
Last column: nearest neighbours and their distance in Å.
Positions (direct):
Br 0.7442 0.7442 0.0000  1 Mn 2.68, 1 Cd 2.80
Br 0.2558 0.2558 0.0000  1 Mn 2.68, 1 Cd 2.80
Br 0.7442 0.2558 0.0000  1 Mn 2.68, 1 Cd 2.80
Br 0.2551 0.2551 0.4899  1 Mn 2.68, 1 Cd 2.79
Br 0.2558 0.7442 0.0000  1 Mn 2.68, 1 Cd 2.80
Br 0.7449 0.7449 0.5101  1 Mn 2.68, 1 Cd 2.79
Mn 0.5000 0.5000 0.0000  6 Br 2.68
Rb 0.2500 0.7500 0.5000  12 Br 3.87
Rb 0.7500 0.2500 0.5000  12 Br 3.87
Cd 0.0000 0.0000 0.0000  6 Br 2.79-2.80

=====

No. 5
Nd2GeBi: relaxed, GGA-PBE.

Values from the calculation:
**Fermi-level density of states**: 0.7540 states/eV per atom
**Size of the total moment**: 0.00 μB per atom
**Final energy**: -5.128 eV per atom
**Energy of formation**: -0.62 eV/atom
**ΔE to the lowest computed polymorph**: 0.200 eV per atom

a b c (Å): 4.2823 4.2823 8.4203
angles (deg): 75.27 75.27 60.00
Last column: nearest neighbours and their distance in Å.
Positions (direct):
Nd 0.0873 0.0873 0.7381  3 Ge 3.10, 3 Bi 3.22
Nd 0.2461 0.2461 0.2618  3 Ge 3.16, 3 Bi 3.28
Bi 0.6684 0.6684 0.9947  6 Nd 3.22-3.28
Ge 0.4982 0.4982 0.5054  6 Nd 3.10-3.16

=====

No. 6
Sr2TaZn: relaxed, GGA-PBE.

Values from the calculation:
**Fermi-level density of states**: 1.1613 states/eV per atom
**Size of the total moment**: 0.25 μB per atom
**Final energy**: -3.663 eV per atom
**Energy of formation**: 0.46 eV/atom

a b c (Å): 3.5941 3.5921 9.2779
angles (deg): 90.00 90.00 90.00
Last column: nearest neighbours and their distance in Å.
Positions (direct):
Zn 0.5000 0.5000 0.6826  4 Ta 2.74
Sr 0.5000 0.5000 0.3170  1 Zn 3.39, 4 Ta 3.48, 4 Sr 3.59
Sr 0.0000 0.0000 0.9279  1 Ta 3.30, 4 Zn 3.41, 4 Sr 3.59
Ta 0.0000 0.0000 0.5725  4 Zn 2.74

=====

No. 7
K2NaSb: relaxed, GGA-PBE.

Values from the calculation:
**Fermi-level density of states**: 0.1713 states/eV per atom
**Size of the total moment**: 0.00 μB per atom
**Final energy**: -1.995 eV per atom
**Formation energy without anion corrections**: -0.3 eV/f.u.

a b c (Å): 5.1857 5.1857 12.4501
angles (deg): 77.98 77.98 90.00
Last column: nearest neighbours and their distance in Å.
Positions (direct):
K 0.3750 0.3617 0.7500  2 Sb 3.47, 2 Na 3.52, 4 K 3.57-3.77
K 0.6384 0.1250 0.2500  2 Sb 3.47, 2 Na 3.52, 4 K 3.57-3.77
K 0.8750 0.8884 0.7500  2 Sb 3.47, 2 Na 3.52, 4 K 3.57-3.77
K 0.1116 0.6250 0.2500  2 Sb 3.47, 2 Na 3.52, 4 K 3.57-3.77
Na 0.5000 0.5000 0.0000  4 K 3.52, 4 Sb 3.67
Na 0.2500 0.7500 0.5000  4 K 3.52, 4 Sb 3.67
Sb 0.0000 0.0000 0.0000  4 K 3.47, 4 Na 3.67
Sb 0.7500 0.2500 0.5000  4 K 3.47, 4 Na 3.67

=====

No. 8
BaRhW2: relaxed, GGA-PBE.

Values from the calculation:
**Fermi-level density of states**: 1.4310 states/eV per atom
**Size of the total moment**: 0.00 μB per atom
**Final energy**: -7.754 eV per atom
**Energy of formation**: 1.04 eV/atom
**ΔE to the lowest computed polymorph**: 0.455 eV per atom

a b c (Å): 10.8225 10.8225 10.8225
angles (deg): 15.59 15.59 15.59
Last column: nearest neighbours and their distance in Å.
Positions (direct):
W 0.2658 0.2658 0.2658  3 Rh 2.75, 6 W 2.94
W 0.7342 0.7342 0.7342  3 Rh 2.75, 6 W 2.94
Rh 0.0000 0.0000 0.0000  6 W 2.75, 6 Rh 2.94
Ba 0.5000 0.5000 0.5000  6 Ba 2.94